1.
# PBE LiPrErSn, optimized geometry
# energy relative to the elements: -413 meV/atom
# D(E_F): 2.6 states/eV per cell
# density: 6.836 g/cm³
# spin magnetization: 0.0 μB per cell
data_LiPrErSn
_chemical_formula_sum 'Li1 Pr1 Er1 Sn1'
_symmetry_space_group_name_H-M 'P 1'
_symmetry_Int_Tables_number 1
_symmetry_space_group_name_Hall 'P 1'
_cell_length_a 5.302
_cell_length_b 5.302
_cell_length_c 5.302
_cell_angle_alpha 60.00
_cell_angle_beta 60.00
_cell_angle_gamma 60.00
loop_
_atom_site_label
_atom_site_type_symbol
_atom_site_fract_x
_atom_site_fract_y
_atom_site_fract_z
Pr1 Pr 0.500 0.500 0.500
Li1 Li 0.750 0.750 0.750
Sn1 Sn 0.250 0.250 0.250
Er1 Er 0.000 0.000 0.000

=====

2.
# PBE PuScTlZn, optimized geometry
# energy relative to the elements: -106 meV/atom
# D(E_F): 8.0 states/eV per cell
# density: 9.794 g/cm³
# spin magnetization: 6.3 μB per cell
data_PuScTlZn
_chemical_formula_sum 'Pu1 Sc1 Tl1 Zn1'
_symmetry_space_group_name_H-M 'P 1'
_symmetry_Int_Tables_number 1
_symmetry_space_group_name_Hall 'P 1'
_cell_length_a 5.117
_cell_length_b 5.117
_cell_length_c 5.117
_cell_angle_alpha 60.00
_cell_angle_beta 60.00
_cell_angle_gamma 60.00
loop_
_atom_site_label
_atom_site_type_symbol
_atom_site_fract_x
_atom_site_fract_y
_atom_site_fract_z
Sc1 Sc 0.500 0.500 0.500
Tl1 Tl 0.250 0.250 0.250
Zn1 Zn 0.750 0.750 0.750
Pu1 Pu 0.000 0.000 0.000

=====

3.
# PBE MgMoIr2, optimized geometry
# energy relative to the elements: -114 meV/atom
# D(E_F): 3.3 states/eV per cell
# density: 13.789 g/cm³
# spin magnetization: 0.0 μB per cell
data_MgMoIr2
_chemical_formula_sum 'Mg1 Mo1 Ir2'
_symmetry_space_group_name_H-M 'P 1'
_symmetry_Int_Tables_number 1
_symmetry_space_group_name_Hall 'P 1'
_cell_length_a 4.978
_cell_length_b 4.978
_cell_length_c 4.978
_cell_angle_alpha 134.99
_cell_angle_beta 135.00
_cell_angle_gamma 65.54
loop_
_atom_site_label
_atom_site_type_symbol
_atom_site_fract_x
_atom_site_fract_y
_atom_site_fract_z
Ir1 Ir 0.000 0.000 0.000
Ir2 Ir 0.750 0.250 0.500
Mg1 Mg 0.500 0.500 0.000
Mo1 Mo 0.250 0.750 0.500

=====

4.
# PBE Y2CdCl, optimized geometry
# D(E_F): 3.9 states/eV per cell
# ΔE to the lowest computed polymorph: 0.78 eV per formula unit
# density: 4.999 g/cm³
# spin magnetization: 0.0 μB per cell
# formation energy from raw total energies: -0.60 eV per atom
data_Y2CdCl
_chemical_formula_sum 'Y2 Cd1 Cl1'
_symmetry_space_group_name_H-M 'P 1'
_symmetry_Int_Tables_number 1
_symmetry_space_group_name_Hall 'P 1'
_cell_length_a 5.741
_cell_length_b 5.741
_cell_length_c 5.741
_cell_angle_alpha 139.82
_cell_angle_beta 114.16
_cell_angle_gamma 80.02
loop_
_atom_site_label
_atom_site_type_symbol
_atom_site_fract_x
_atom_site_fract_y
_atom_site_fract_z
Cd1 Cd 0.750 0.250 0.500
Cl1 Cl 0.250 0.750 0.500
Y1 Y 0.034 0.034 0.000
Y2 Y 0.466 0.466 0.000

=====

5.
# PBE Fe4Ni3Ir, optimized geometry
# energy relative to the elements: -36 meV/atom
# D(E_F): 19.3 states/eV per cell
# density: 10.341 g/cm³
# spin magnetization: 25.2 μB per cell
data_Fe4Ni3Ir
_chemical_formula_sum 'Fe8 Ni6 Ir2'
_symmetry_space_group_name_H-M 'P 1'
_symmetry_Int_Tables_number 1
_symmetry_space_group_name_Hall 'P 1'
_cell_length_a 4.415
_cell_length_b 5.137
_cell_length_c 8.378
_cell_angle_alpha 90.00
_cell_angle_beta 90.00
_cell_angle_gamma 90.00
loop_
_atom_site_label
_atom_site_type_symbol
_atom_site_fract_x
_atom_site_fract_y
_atom_site_fract_z
Ni1 Ni 0.000 0.000 0.000
Ni2 Ni 0.000 0.000 0.500
Ni3 Ni 0.660 0.000 0.750
Ni4 Ni 0.340 0.000 0.250
Ni5 Ni 0.652 0.500 0.750
Ni6 Ni 0.348 0.500 0.250
Ir1 Ir 0.000 0.500 0.000
Ir2 Ir 0.000 0.500 0.500
Fe1 Fe 0.500 0.756 0.000
Fe2 Fe 0.500 0.756 0.500
Fe3 Fe 0.500 0.244 0.000
Fe4 Fe 0.500 0.244 0.500
Fe5 Fe 0.160 0.754 0.750
Fe6 Fe 0.840 0.754 0.250
Fe7 Fe 0.840 0.246 0.250
Fe8 Fe 0.160 0.246 0.750

=====

6.
# PBE Sr2Ca2Cu, optimized geometry
# energy relative to the elements: 147 meV/atom
# D(E_F): 11.2 states/eV per cell
# ΔE to the lowest computed polymorph: 0.47 eV per formula unit
# density: 2.640 g/cm³
# spin magnetization: 0.0 μB per cell
data_Sr2Ca2Cu
_chemical_formula_sum 'Sr4 Ca4 Cu2'
_symmetry_space_group_name_H-M 'P 1'
_symmetry_Int_Tables_number 1
_symmetry_space_group_name_Hall 'P 1'
_cell_length_a 7.838
_cell_length_b 7.838
_cell_length_c 6.532
_cell_angle_alpha 90.00
_cell_angle_beta 90.00
_cell_angle_gamma 90.00
loop_
_atom_site_label
_atom_site_type_symbol
_atom_site_fract_x
_atom_site_fract_y
_atom_site_fract_z
Sr1 Sr 0.175 0.675 0.500
Sr2 Sr 0.675 0.825 0.500
Sr3 Sr 0.825 0.325 0.500
Sr4 Sr 0.325 0.175 0.500
Ca1 Ca 0.336 0.836 0.000
Ca2 Ca 0.836 0.664 0.000
Ca3 Ca 0.664 0.164 0.000
Ca4 Ca 0.164 0.336 0.000
Cu1 Cu 0.000 0.000 0.000
Cu2 Cu 0.500 0.500 0.000

=====

7.
# PBE Cd2AuBr, optimized geometry
# D(E_F): 1.5 states/eV per cell
# ΔE to the lowest computed polymorph: 0.35 eV per formula unit
# density: 9.033 g/cm³
# spin magnetization: 0.0 μB per cell
# formation energy from raw total energies: -0.17 eV per atom
data_Cd2AuBr
_chemical_formula_sum 'Cd2 Au1 Br1'
_symmetry_space_group_name_H-M 'P 1'
_symmetry_Int_Tables_number 1
_symmetry_space_group_name_Hall 'P 1'
_cell_length_a 3.456
_cell_length_b 3.456
_cell_length_c 7.720
_cell_angle_alpha 90.00
_cell_angle_beta 90.00
_cell_angle_gamma 89.91
loop_
_atom_site_label
_atom_site_type_symbol
_atom_site_fract_x
_atom_site_fract_y
_atom_site_fract_z
Au1 Au 0.500 0.500 0.250
Br1 Br 0.500 0.500 0.750
Cd1 Cd 0.000 0.000 0.037
Cd2 Cd 0.000 0.000 0.463

=====

8.
# PBE Cu2NiH, optimized geometry
# D(E_F): 3.2 states/eV per cell
# ΔE to the lowest computed polymorph: 0.30 eV per formula unit
# density: 8.373 g/cm³
# spin magnetization: 0.0 μB per cell
data_Cu2NiH
_chemical_formula_sum 'Cu4 Ni2 H2'
_symmetry_space_group_name_H-M 'P 1'
_symmetry_Int_Tables_number 1
_symmetry_space_group_name_Hall 'P 1'
_cell_length_a 3.445
_cell_length_b 5.371
_cell_length_c 4.562
_cell_angle_alpha 107.13
_cell_angle_beta 112.18
_cell_angle_gamma 90.00
loop_
_atom_site_label
_atom_site_type_symbol
_atom_site_fract_x
_atom_site_fract_y
_atom_site_fract_z
Cu1 Cu 0.171 0.585 0.341
Cu2 Cu 0.829 0.415 0.659
Cu3 Cu 0.171 0.085 0.341
Cu4 Cu 0.829 0.915 0.659
Ni1 Ni 0.500 0.250 0.000
Ni2 Ni 0.500 0.750 0.000
H1 H 0.000 0.750 0.000
H2 H 0.000 0.250 0.000